Entry 1:
Density functional theory data (GGA-PBE) for CdGe5Br12 after structural relaxation.

Summary:
- Formation energy (no corrections): -58.4 kJ per mole of atoms

Geometry as CIF:
```
data_CdGe5Br12
_chemical_formula_sum 'Cd1 Ge5 Br12'
_cell_length_a 7.046
_cell_length_b 7.046
_cell_length_c 13.983
_cell_angle_alpha 90.01
_cell_angle_beta 90.01
_cell_angle_gamma 120.08
_symmetry_space_group_name_H-M 'P 1'
_symmetry_Int_Tables_number 1
loop_
_symmetry_equiv_pos_as_xyz
'x,y,z'
loop_
_atom_site_label
_atom_site_fract_x
_atom_site_fract_y
_atom_site_fract_z
_atom_site_occupancy
Cd1 0.000 0.000 0.000 1
Ge1 0.167 0.833 0.500 1
Ge2 0.333 0.667 0.000 1
Ge3 0.500 0.500 0.500 1
Ge4 0.667 0.333 0.000 1
Ge5 0.833 0.167 0.500 1
Br1 0.000 0.331 0.114 1
Br2 0.000 0.669 0.886 1
Br3 0.166 0.166 0.385 1
Br4 0.167 0.500 0.615 1
Br5 0.331 0.000 0.114 1
Br6 0.331 0.331 0.886 1
Br7 0.500 0.167 0.615 1
Br8 0.500 0.833 0.385 1
Br9 0.669 0.000 0.886 1
Br10 0.669 0.669 0.114 1
Br11 0.833 0.500 0.385 1
Br12 0.834 0.834 0.615 1
```


Entry 2:
Density functional theory data (GGA-PBE) for TbHoCu after structural relaxation.

Summary:
- ΔE_f: 0.056 eV per atom

Geometry as CIF:
```
data_TbHoCu
_chemical_formula_sum 'Tb1 Ho1 Cu1'
_cell_length_a 4.841
_cell_length_b 4.841
_cell_length_c 4.841
_cell_angle_alpha 60.00
_cell_angle_beta 60.00
_cell_angle_gamma 60.00
_symmetry_space_group_name_H-M 'P 1'
_symmetry_Int_Tables_number 1
loop_
_symmetry_equiv_pos_as_xyz
'x,y,z'
loop_
_atom_site_label
_atom_site_fract_x
_atom_site_fract_y
_atom_site_fract_z
_atom_site_occupancy
Tb1 0.000 0.000 0.000 1
Ho1 0.500 0.500 0.500 1
Cu1 0.250 0.250 0.250 1
```


Entry 3:
Density functional theory data (GGA-PBE) for KSrTl2 after structural relaxation.

Summary:
- ΔE_f: -0.067 eV per atom

Geometry as CIF:
```
data_KSrTl2
_chemical_formula_sum 'K1 Sr1 Tl2'
_cell_length_a 5.910
_cell_length_b 5.910
_cell_length_c 7.367
_cell_angle_alpha 102.13
_cell_angle_beta 102.13
_cell_angle_gamma 40.46
_symmetry_space_group_name_H-M 'P 1'
_symmetry_Int_Tables_number 1
loop_
_symmetry_equiv_pos_as_xyz
'x,y,z'
loop_
_atom_site_label
_atom_site_fract_x
_atom_site_fract_y
_atom_site_fract_z
_atom_site_occupancy
K1 0.000 0.000 0.000 1
Sr1 0.500 0.500 0.500 1
Tl1 0.246 0.246 0.698 1
Tl2 0.754 0.754 0.302 1
```


Entry 4:
Density functional theory data (GGA-PBE) for SiTcNiRh after structural relaxation.

Summary:
- Formation energy (no corrections): -30.8 kJ per mole of atoms

Geometry as CIF:
```
data_SiTcNiRh
_chemical_formula_sum 'Si1 Tc1 Ni1 Rh1'
_cell_length_a 3.894
_cell_length_b 5.023
_cell_length_c 5.023
_cell_angle_alpha 31.61
_cell_angle_beta 90.00
_cell_angle_gamma 90.00
_symmetry_space_group_name_H-M 'P 1'
_symmetry_Int_Tables_number 1
loop_
_symmetry_equiv_pos_as_xyz
'x,y,z'
loop_
_atom_site_label
_atom_site_fract_x
_atom_site_fract_y
_atom_site_fract_z
_atom_site_occupancy
Si1 0.000 0.000 0.000 1
Tc1 0.000 0.739 0.739 1
Ni1 0.500 0.132 0.132 1
Rh1 0.500 0.394 0.394 1
```


Entry 5:
Density functional theory data (GGA-PBE) for LaRuSe2 after structural relaxation.

Summary:
- Formation energy (no corrections): -38.9 kJ per mole of atoms

Geometry as CIF:
```
data_LaRuSe2
_chemical_formula_sum 'La1 Ru1 Se2'
_cell_length_a 3.542
_cell_length_b 3.542
_cell_length_c 6.951
_cell_angle_alpha 90.00
_cell_angle_beta 90.00
_cell_angle_gamma 90.00
_symmetry_space_group_name_H-M 'P 1'
_symmetry_Int_Tables_number 1
loop_
_symmetry_equiv_pos_as_xyz
'x,y,z'
loop_
_atom_site_label
_atom_site_fract_x
_atom_site_fract_y
_atom_site_fract_z
_atom_site_occupancy
La1 0.000 0.000 0.000 1
Ru1 0.000 0.000 0.500 1
Se1 0.500 0.500 0.268 1
Se2 0.500 0.500 0.732 1
```


Entry 6:
Density functional theory data (GGA-PBE) for Li3PmS4O12 after structural relaxation.

Summary:
- Formation energy (no corrections): -128.7 kJ per mole of atoms

Geometry as CIF:
```
data_Li3PmS4O12
_chemical_formula_sum 'Li3 Pm1 S4 O12'
_cell_length_a 6.452
_cell_length_b 6.452
_cell_length_c 6.452
_cell_angle_alpha 105.64
_cell_angle_beta 105.64
_cell_angle_gamma 105.64
_symmetry_space_group_name_H-M 'P 1'
_symmetry_Int_Tables_number 1
loop_
_symmetry_equiv_pos_as_xyz
'x,y,z'
loop_
_atom_site_label
_atom_site_fract_x
_atom_site_fract_y
_atom_site_fract_z
_atom_site_occupancy
Li1 0.000 0.579 0.421 1
Li2 0.421 0.000 0.579 1
Li3 0.579 0.421 0.000 1
Pm1 0.000 0.000 0.000 1
S1 0.109 0.500 0.891 1
S2 0.500 0.500 0.500 1
S3 0.500 0.891 0.109 1
S4 0.891 0.109 0.500 1
O1 0.017 0.659 0.754 1
O2 0.039 0.961 0.500 1
O3 0.246 0.341 0.983 1
O4 0.341 0.983 0.246 1
O5 0.361 0.639 0.500 1
O6 0.500 0.039 0.961 1
O7 0.500 0.361 0.639 1
O8 0.639 0.500 0.361 1
O9 0.659 0.754 0.017 1
O10 0.754 0.017 0.659 1
O11 0.961 0.500 0.039 1
O12 0.983 0.246 0.341 1
```


Entry 7:
Density functional theory data (GGA-PBE) for GdAlCu2 after structural relaxation.

Summary:
- ΔE_f: -0.099 eV per atom

Geometry as CIF:
```
data_GdAlCu2
_chemical_formula_sum 'Gd1 Al1 Cu2'
_cell_length_a 4.469
_cell_length_b 4.469
_cell_length_c 3.598
_cell_angle_alpha 90.00
_cell_angle_beta 90.00
_cell_angle_gamma 90.00
_symmetry_space_group_name_H-M 'P 1'
_symmetry_Int_Tables_number 1
loop_
_symmetry_equiv_pos_as_xyz
'x,y,z'
loop_
_atom_site_label
_atom_site_fract_x
_atom_site_fract_y
_atom_site_fract_z
_atom_site_occupancy
Gd1 0.000 0.000 0.000 1
Al1 0.500 0.500 0.000 1
Cu1 0.000 0.500 0.500 1
Cu2 0.500 0.000 0.500 1
```


Entry 8:
Density functional theory data (GGA-PBE) for Lu2CoPb after structural relaxation.

Summary:
- ΔE_f: -0.051 eV per atom

Geometry as CIF:
```
data_Lu2CoPb
_chemical_formula_sum 'Lu2 Co1 Pb1'
_cell_length_a 9.573
_cell_length_b 9.573
_cell_length_c 9.573
_cell_angle_alpha 22.09
_cell_angle_beta 22.09
_cell_angle_gamma 22.09
_symmetry_space_group_name_H-M 'P 1'
_symmetry_Int_Tables_number 1
loop_
_symmetry_equiv_pos_as_xyz
'x,y,z'
loop_
_atom_site_label
_atom_site_fract_x
_atom_site_fract_y
_atom_site_fract_z
_atom_site_occupancy
Lu1 0.114 0.114 0.114 1
Lu2 0.886 0.886 0.886 1
Co1 0.500 0.500 0.500 1
Pb1 0.000 0.000 0.000 1
```


Entry 9:
Density functional theory data (GGA-PBE) for TbPS4 after structural relaxation.

Summary:
- Formation energy (no corrections): -100.5 kJ per mole of atoms

Geometry as CIF:
```
data_TbPS4
_chemical_formula_sum 'Tb8 P8 S32'
_cell_length_a 12.251
_cell_length_b 12.251
_cell_length_c 12.251
_cell_angle_alpha 127.51
_cell_angle_beta 127.51
_cell_angle_gamma 77.42
_symmetry_space_group_name_H-M 'P 1'
_symmetry_Int_Tables_number 1
loop_
_symmetry_equiv_pos_as_xyz
'x,y,z'
loop_
_atom_site_label
_atom_site_fract_x
_atom_site_fract_y
_atom_site_fract_z
_atom_site_occupancy
Tb1 0.125 0.375 0.750 1
Tb2 0.125 0.875 0.250 1
Tb3 0.375 0.125 0.250 1
Tb4 0.375 0.625 0.750 1
Tb5 0.625 0.375 0.250 1
Tb6 0.625 0.875 0.750 1
Tb7 0.875 0.125 0.750 1
Tb8 0.875 0.625 0.250 1
P1 0.212 0.250 0.462 1
P2 0.250 0.288 0.038 1
P3 0.250 0.788 0.538 1
P4 0.288 0.750 0.038 1
P5 0.712 0.250 0.962 1
P6 0.750 0.212 0.462 1
P7 0.750 0.712 0.962 1
P8 0.788 0.750 0.538 1
S1 0.086 0.884 0.474 1
S2 0.091 0.389 0.974 1
S3 0.096 0.664 0.939 1
S4 0.111 0.409 0.526 1
S5 0.116 0.091 0.202 1
S6 0.157 0.096 0.932 1
S7 0.164 0.596 0.439 1
S8 0.225 0.157 0.561 1
S9 0.275 0.836 0.932 1
S10 0.336 0.775 0.432 1
S11 0.343 0.275 0.939 1
S12 0.384 0.586 0.974 1
S13 0.389 0.914 0.298 1
S14 0.404 0.343 0.568 1
S15 0.409 0.384 0.298 1
S16 0.414 0.889 0.798 1
S17 0.586 0.111 0.202 1
S18 0.591 0.616 0.702 1
S19 0.596 0.657 0.432 1
S20 0.611 0.086 0.702 1
S21 0.616 0.414 0.026 1
S22 0.657 0.725 0.061 1
S23 0.664 0.225 0.568 1
S24 0.725 0.164 0.068 1
S25 0.775 0.843 0.439 1
S26 0.836 0.404 0.561 1
S27 0.843 0.904 0.068 1
S28 0.884 0.909 0.798 1
S29 0.889 0.591 0.474 1
S30 0.904 0.336 0.061 1
S31 0.909 0.611 0.026 1
S32 0.914 0.116 0.526 1
```


Entry 10:
Density functional theory data (GGA-PBE) for Dy2Be3ZnPt4 after structural relaxation.

Summary:
- ΔE_f: -0.892 eV per atom

Geometry as CIF:
```
data_Dy2Be3ZnPt4
_chemical_formula_sum 'Dy2 Be3 Zn1 Pt4'
_cell_length_a 3.999
_cell_length_b 3.999
_cell_length_c 10.064
_cell_angle_alpha 90.00
_cell_angle_beta 90.00
_cell_angle_gamma 90.00
_symmetry_space_group_name_H-M 'P 1'
_symmetry_Int_Tables_number 1
loop_
_symmetry_equiv_pos_as_xyz
'x,y,z'
loop_
_atom_site_label
_atom_site_fract_x
_atom_site_fract_y
_atom_site_fract_z
_atom_site_occupancy
Dy1 0.000 0.500 0.242 1
Dy2 0.500 0.000 0.758 1
Be1 0.000 0.500 0.881 1
Be2 0.500 0.000 0.119 1
Be3 0.500 0.500 0.500 1
Zn1 0.000 0.000 0.500 1
Pt1 0.000 0.000 0.000 1
Pt2 0.000 0.500 0.652 1
Pt3 0.500 0.000 0.348 1
Pt4 0.500 0.500 0.000 1
```


Entry 11:
Density functional theory data (GGA-PBE) for HfVFe2 after structural relaxation.

Summary:
- ΔE_f: -0.123 eV per atom

Geometry as CIF:
```
data_HfVFe2
_chemical_formula_sum 'Hf1 V1 Fe2'
_cell_length_a 4.254
_cell_length_b 4.254
_cell_length_c 3.036
_cell_angle_alpha 90.00
_cell_angle_beta 90.00
_cell_angle_gamma 90.00
_symmetry_space_group_name_H-M 'P 1'
_symmetry_Int_Tables_number 1
loop_
_symmetry_equiv_pos_as_xyz
'x,y,z'
loop_
_atom_site_label
_atom_site_fract_x
_atom_site_fract_y
_atom_site_fract_z
_atom_site_occupancy
Hf1 0.000 0.000 0.000 1
V1 0.500 0.500 0.000 1
Fe1 0.000 0.500 0.500 1
Fe2 0.500 0.000 0.500 1
```


Copy entry 8 word for word.
Density functional theory data (GGA-PBE) for Lu2CoPb after structural relaxation.

Summary:
- ΔE_f: -0.051 eV per atom

Geometry as CIF:
```
data_Lu2CoPb
_chemical_formula_sum 'Lu2 Co1 Pb1'
_cell_length_a 9.573
_cell_length_b 9.573
_cell_length_c 9.573
_cell_angle_alpha 22.09
_cell_angle_beta 22.09
_cell_angle_gamma 22.09
_symmetry_space_group_name_H-M 'P 1'
_symmetry_Int_Tables_number 1
loop_
_symmetry_equiv_pos_as_xyz
'x,y,z'
loop_
_atom_site_label
_atom_site_fract_x
_atom_site_fract_y
_atom_site_fract_z
_atom_site_occupancy
Lu1 0.114 0.114 0.114 1
Lu2 0.886 0.886 0.886 1
Co1 0.500 0.500 0.500 1
Pb1 0.000 0.000 0.000 1
```